TlSi3Se | GGA-PBE | optimized geometry

Cell lengths 5.001, 5.001, 5.001 Å; angles 90.00, 90.00, 90.00 degrees
Atoms (fractional coordinates):
Tl  0.500  0.500  0.500
Si  0.000  0.500  0.000
Si  0.000  0.000  0.500
Si  0.500  0.000  0.000
Se  0.000  0.000  0.000

Summary:
**Energy**: -3.4721 eV per atom
**Volume**: 125 Å³/cell
**Energy relative to the lowest polymorph listed for this composition**: 0.000 eV/atom
**Magnetic moment**: 0.0 μB per cell
**Formation energy from raw total energies**: 21.95 kcal/mol of atoms


Nd3In2Hg3 | GGA-PBE | optimized geometry

Cell lengths 4.413, 5.155, 10.184 Å; angles 104.66, 102.51, 90.00 degrees
Atoms (fractional coordinates):
Nd  0.634  0.634  0.267
Nd  0.366  0.366  0.733
Nd  0.500  0.000  0.000
In  0.740  0.240  0.480
In  0.260  0.760  0.520
Hg  0.124  0.124  0.248
Hg  0.000  0.500  0.000
Hg  0.876  0.876  0.752

Summary:
**Energy**: -2.9640 eV per atom
**Volume**: 218 Å³/cell
**Energy relative to the lowest polymorph listed for this composition**: 0.065 eV/atom
**Magnetic moment**: 0.0 μB per cell


Na2CrH6 | GGA-PBE | optimized geometry

Cell lengths 4.782, 4.782, 8.801 Å; angles 90.00, 90.00, 90.00 degrees
Atoms (fractional coordinates):
Na  0.000  0.500  0.250
Na  0.500  0.000  0.250
Na  0.500  0.000  0.750
Na  0.000  0.500  0.750
Cr  0.000  0.000  0.000
Cr  0.500  0.500  0.500
H  0.499  0.131  0.500
H  0.501  0.869  0.500
H  0.631  0.999  0.000
H  0.131  0.501  0.500
H  0.869  0.499  0.500
H  0.001  0.631  0.000
H  0.000  0.000  0.200
H  0.500  0.500  0.300
H  0.000  0.000  0.800
H  0.500  0.500  0.700
H  0.369  0.001  0.000
H  0.999  0.369  0.000

Summary:
**Energy**: -3.4486 eV per atom
**Volume**: 201 Å³/cell
**Magnetic moment**: 6.4 μB per cell


RbMnBiTe3 | GGA-PBE | optimized geometry

Cell lengths 4.567, 10.226, 10.630 Å; angles 107.89, 90.00, 90.00 degrees
Atoms (fractional coordinates):
Rb  0.250  0.198  0.238
Rb  0.750  0.802  0.762
Mn  0.250  0.083  0.604
Mn  0.750  0.917  0.396
Bi  0.250  0.665  0.134
Bi  0.750  0.335  0.866
Te  0.750  0.881  0.134
Te  0.250  0.119  0.866
Te  0.250  0.801  0.470
Te  0.750  0.199  0.530
Te  0.750  0.460  0.163
Te  0.250  0.540  0.837

Summary:
**Energy**: -4.3662 eV per atom
**Volume**: 472 Å³/cell
**Magnetic moment**: 10.0 μB per cell
**Formation energy from raw total energies**: -10.59 kcal/mol of atoms


Ba3NbSe | GGA-PBE | optimized geometry

Cell lengths 6.251, 6.251, 6.251 Å; angles 90.00, 90.00, 90.00 degrees
Atoms (fractional coordinates):
Nb  0.500  0.500  0.500
Ba  0.000  0.500  0.000
Ba  0.000  0.000  0.500
Ba  0.500  0.000  0.000
Se  0.000  0.000  0.000

Summary:
**Energy**: -3.8149 eV per atom
**Volume**: 244 Å³/cell
**Energy relative to the lowest polymorph listed for this composition**: 0.000 eV/atom
**Magnetic moment**: 5.1 μB per cell
**Formation energy from raw total energies**: 1.15 kcal/mol of atoms


La2GeWI | GGA-PBE | optimized geometry

Cell lengths 5.930, 5.312, 5.930 Å; angles 90.00, 90.00, 90.00 degrees
Atoms (fractional coordinates):
I  0.000  0.000  0.000
Ge  0.000  0.500  0.000
W  0.500  0.500  0.500
La  0.000  0.000  0.500
La  0.500  0.000  0.000

Summary:
**Energy**: -4.5485 eV per atom
**Volume**: 187 Å³/cell
**Magnetic moment**: 3.9 μB per cell
**Formation energy from raw total energies**: 28.75 kcal/mol of atoms


Dy6Pt2C | GGA-PBE | optimized geometry

Cell lengths 6.553, 7.090, 9.534 Å; angles 90.00, 88.54, 90.00 degrees
Atoms (fractional coordinates):
Dy  0.115  0.035  0.258
Dy  0.177  0.301  0.558
Dy  0.194  0.321  0.943
Dy  0.306  0.821  0.557
Dy  0.323  0.801  0.942
Dy  0.385  0.535  0.242
Dy  0.885  0.965  0.742
Dy  0.823  0.699  0.442
Dy  0.806  0.679  0.057
Dy  0.694  0.179  0.443
Dy  0.677  0.199  0.058
Dy  0.615  0.465  0.758
Pt  0.038  0.591  0.753
Pt  0.462  0.091  0.747
Pt  0.538  0.909  0.253
Pt  0.962  0.409  0.247
C  0.500  0.500  0.000
C  0.000  0.000  0.500

Summary:
**Energy**: -6.1543 eV per atom
**Volume**: 443 Å³/cell
**Magnetic moment**: 0.0 μB per cell


Li3Ni | GGA-PBE | optimized geometry

Cell lengths 5.184, 5.234, 5.212 Å; angles 150.73, 126.01, 62.62 degrees
Atoms (fractional coordinates):
Ni  0.668  0.001  0.669
Li  0.739  0.733  0.009
Li  0.276  0.264  0.004
Li  0.149  0.502  0.651

Summary:
**Energy**: -2.8093 eV per atom
**Volume**: 55 Å³/cell
**Magnetic moment**: 0.0 μB per cell


FeBi2Te | GGA-PBE | optimized geometry

Cell lengths 6.480, 6.480, 8.019 Å; angles 66.17, 66.17, 90.00 degrees
Atoms (fractional coordinates):
Te  0.000  0.000  0.000
Te  0.750  0.250  0.500
Bi  0.548  0.125  0.250
Bi  0.202  0.625  0.250
Bi  0.375  0.452  0.750
Bi  0.875  0.798  0.750
Fe  0.500  0.500  0.000
Fe  0.250  0.750  0.500

Summary:
**Energy**: -4.3862 eV per atom
**Volume**: 276 Å³/cell
**Magnetic moment**: 3.9 μB per cell
**Formation energy from raw total energies**: 10.50 kcal/mol of atoms


Mn3AgIr | GGA-PBE | optimized geometry

Cell lengths 4.827, 4.827, 4.827 Å; angles 90.00, 90.00, 90.00 degrees
Atoms (fractional coordinates):
Mn  0.000  0.500  0.000
Mn  0.000  0.000  0.500
Mn  0.500  0.000  0.000
Ir  0.000  0.000  0.000
Ag  0.500  0.500  0.500

Summary:
**Energy**: -6.9117 eV per atom
**Volume**: 112 Å³/cell
**Energy relative to the lowest polymorph listed for this composition**: 0.000 eV/atom
**Magnetic moment**: 13.2 μB per cell


Nb2H2Pd | GGA-PBE | optimized geometry

Cell lengths 2.897, 4.191, 5.290 Å; angles 113.35, 105.89, 90.00 degrees
Atoms (fractional coordinates):
Nb  0.341  0.340  0.681
Nb  0.659  0.660  0.319
H  0.696  0.197  0.393
H  0.304  0.803  0.607
Pd  0.000  0.000  0.000

Summary:
**Energy**: -6.5769 eV per atom
**Volume**: 56 Å³/cell
**Energy relative to the lowest polymorph listed for this composition**: 0.000 eV/atom
**Magnetic moment**: 0.0 μB per cell


AsIr2Os | GGA-PBE | optimized geometry

Cell lengths 5.306, 5.306, 5.306 Å; angles 148.69, 129.72, 60.44 degrees
Atoms (fractional coordinates):
As  0.250  0.750  0.500
Ir  0.020  0.020  0.000
Ir  0.480  0.480  0.000
Os  0.750  0.250  0.500

Summary:
**Energy**: -8.0182 eV per atom
**Volume**: 59 Å³/cell
**Magnetic moment**: 0.0 μB per cell


Mg5Cd5Ag2 | GGA-PBE | optimized geometry

Cell lengths 4.731, 7.903, 9.154 Å; angles 126.25, 90.00, 107.42 degrees
Atoms (fractional coordinates):
Mg  0.500  0.000  0.500
Mg  0.605  0.211  0.915
Mg  0.674  0.347  0.328
Mg  0.326  0.653  0.672
Mg  0.395  0.789  0.085
Cd  0.079  0.157  0.384
Cd  0.761  0.522  0.800
Cd  0.239  0.478  0.200
Cd  0.921  0.843  0.616
Cd  0.000  0.000  0.000
Ag  0.149  0.298  0.763
Ag  0.851  0.702  0.237

Summary:
**Energy**: -1.6081 eV per atom
**Volume**: 256 Å³/cell
**Magnetic moment**: 0.0 μB per cell


Pr2Sm3HoTm6 | GGA-PBE | optimized geometry

Cell lengths 6.183, 6.183, 11.713 Å; angles 95.03, 95.03, 119.99 degrees
Atoms (fractional coordinates):
Pr  0.334  0.666  0.000
Pr  0.666  0.334  0.000
Sm  0.167  0.833  0.500
Sm  0.833  0.167  0.500
Sm  0.500  0.500  0.500
Ho  0.000  0.000  0.000
Tm  0.916  0.583  0.749
Tm  0.751  0.751  0.251
Tm  0.084  0.417  0.251
Tm  0.583  0.916  0.749
Tm  0.249  0.249  0.749
Tm  0.417  0.084  0.251

Summary:
**Energy**: -4.5749 eV per atom
**Volume**: 382 Å³/cell
**Magnetic moment**: 0.0 μB per cell


Pm3Sm2Zn3 | GGA-PBE | optimized geometry

Cell lengths 3.707, 5.299, 11.406 Å; angles 103.43, 99.35, 90.00 degrees
Atoms (fractional coordinates):
Pm  0.617  0.617  0.234
Pm  0.383  0.383  0.766
Pm  0.500  0.000  0.000
Sm  0.729  0.229  0.458
Sm  0.271  0.771  0.542
Zn  0.116  0.116  0.232
Zn  0.000  0.500  0.000
Zn  0.884  0.884  0.768

Summary:
**Energy**: -3.6665 eV per atom
**Volume**: 215 Å³/cell
**Magnetic moment**: 0.0 μB per cell


SnIrSeN2 | GGA-PBE | optimized geometry

Cell lengths 3.990, 3.990, 5.758 Å; angles 90.00, 90.00, 90.00 degrees
Atoms (fractional coordinates):
Ir  0.500  0.500  0.500
Sn  0.000  0.000  0.000
Se  0.000  0.000  0.500
N  0.000  0.500  0.000
N  0.500  0.000  0.000

Summary:
**Energy**: -4.7904 eV per atom
**Volume**: 92 Å³/cell
**Energy relative to the lowest polymorph listed for this composition**: 1.045 eV/atom
**Magnetic moment**: 3.7 μB per cell
**Formation energy from raw total energies**: 41.73 kcal/mol of atoms


NdYNiGe | GGA-PBE | optimized geometry

Cell lengths 5.027, 5.027, 5.027 Å; angles 60.00, 60.00, 60.00 degrees
Atoms (fractional coordinates):
Y  0.500  0.500  0.500
Ni  0.750  0.750  0.750
Ge  0.250  0.250  0.250
Nd  0.000  0.000  0.000

Summary:
**Energy**: -5.8929 eV per atom
**Volume**: 90 Å³/cell
**Magnetic moment**: 0.0 μB per cell


Cs3Li2TbI9 | GGA-PBE | optimized geometry

Cell lengths 8.462, 8.462, 10.532 Å; angles 90.00, 90.00, 120.00 degrees
Atoms (fractional coordinates):
Cs  0.333  0.667  0.675
Cs  0.000  0.000  0.000
Cs  0.667  0.333  0.325
Li  0.333  0.667  0.141
Li  0.667  0.333  0.859
Tb  0.000  0.000  0.500
I  0.832  0.168  0.667
I  0.832  0.663  0.667
I  0.337  0.168  0.667
I  0.663  0.832  0.333
I  0.168  0.337  0.333
I  0.168  0.832  0.333
I  0.500  0.000  0.000
I  0.000  0.500  0.000
I  0.500  0.500  0.000

Summary:
**Energy**: -2.9463 eV per atom
**Volume**: 653 Å³/cell
**Magnetic moment**: 0.0 μB per cell
**Formation energy from raw total energies**: -29.56 kcal/mol of atoms


Pm5SmDyHo2 | GGA-PBE | optimized geometry

Cell lengths 5.651, 10.536, 10.696 Å; angles 90.00, 90.00, 105.56 degrees
Atoms (fractional coordinates):
Pm  0.390  0.781  0.024
Pm  0.719  0.438  0.810
Pm  0.480  0.960  0.742
Pm  0.298  0.595  0.705
Pm  0.983  0.967  0.522
Pm  0.610  0.219  0.524
Pm  0.281  0.562  0.310
Pm  0.520  0.040  0.242
Pm  0.702  0.405  0.205
Pm  0.017  0.033  0.022
Sm  0.799  0.599  0.510
Sm  0.201  0.401  0.010
Dy  0.589  0.178  0.957
Dy  0.411  0.822  0.457
Ho  0.884  0.769  0.817
Ho  0.111  0.222  0.737
Ho  0.116  0.231  0.317
Ho  0.889  0.778  0.237

Summary:
**Energy**: -4.5455 eV per atom
**Volume**: 614 Å³/cell
**Magnetic moment**: 0.0 μB per cell


Ca3Nd3ScS8 | GGA-PBE | optimized geometry

Cell lengths 8.012, 8.012, 8.071 Å; angles 119.76, 90.00, 120.00 degrees
Atoms (fractional coordinates):
Ca  0.000  0.000  0.000
Ca  0.000  0.500  0.000
Ca  0.500  0.500  0.000
Nd  0.500  0.000  0.500
Nd  0.500  0.500  0.500
Nd  0.000  0.500  0.500
Sc  0.000  0.000  0.500
S  0.248  0.496  0.243
S  0.752  0.504  0.757
S  0.767  0.533  0.265
S  0.233  0.467  0.735
S  0.767  0.999  0.265
S  0.233  0.001  0.735
S  0.232  0.999  0.265
S  0.768  0.001  0.735

Summary:
**Energy**: -6.0296 eV per atom
**Volume**: 368 Å³/cell
**Magnetic moment**: 0.0 μB per cell
**Formation energy from raw total energies**: -47.33 kcal/mol of atoms